# 1
DFT (SCAN) results for a PBEsol-optimized structure of ZrRh2Se.

Output
SG: Imm2
Formation energy (no corrections) (eV per formula unit): -2.4
Total energy (eV per atom): -30.182
Total magnetic moment (Bohr magnetons per cell): 0.000

a = 3.344 Å, b = 4.383 Å, c = 5.120 Å
α = 115.34°, β = 109.06°, γ = 90.00°
Positions (direct):
Rh  0.993  0.993  0.986
Rh  0.223  0.723  0.447
Se  0.519  0.519  0.037
Zr  0.765  0.265  0.530

---

# 2
DFT (SCAN) results for a PBEsol-optimized structure of ZnAsP2.

Output
SG: C2/m
Polymorph energy (0 for the lowest one) (meV/atom): 597
Total energy (eV per atom): -13.009
ΔH_f (0 K) (kJ per mole of atoms): 59.5
Total magnetic moment (Bohr magnetons per cell): 0.000

a = 2.776 Å, b = 5.178 Å, c = 5.144 Å
α = 117.18°, β = 100.55°, γ = 99.94°
Positions (direct):
As  0.000  0.500  0.000
P  0.000  0.000  0.500
P  0.500  0.500  0.500
Zn  0.500  0.000  0.000

---

# 3
DFT (SCAN) results for a PBEsol-optimized structure of BaTa5.

Output
SG: Cm
Polymorph energy (0 for the lowest one) (meV/atom): 118
Total energy (eV per atom): -61.281
ΔH_f (0 K) (kJ per mole of atoms): 76.8
Total magnetic moment (Bohr magnetons per cell): 0.000

a = 2.956 Å, b = 6.475 Å, c = 7.018 Å
α = 106.82°, β = 90.00°, γ = 103.20°
Positions (direct):
Ba  0.985  0.970  0.981
Ta  0.325  0.650  0.610
Ta  0.665  0.330  0.350
Ta  0.644  0.289  0.719
Ta  0.946  0.892  0.406
Ta  0.267  0.535  0.100

---

In Å³ per cell, the calculated volume values for the records above are, in order, 63.24, 61.83, 124.88.